a) A plane-wave DFT calculation with PBE was carried out for a relaxed Dy3Sn3Hg crystal.

total magnetic moment: 0.000 μB per atom
V: 447.84 Å³/cell
SG: No. 176
crystal system: hexagonal
N(E_F): 8.1 states/eV per cell

The structure in extended XYZ format:
```
14
Lattice="9.175 0.000 0.000 -4.587 7.945 0.000 0.000 0.000 6.143" Properties=species:S:1:pos:R:3 pbc="T T T"
Dy -1.300 2.920 1.536
Dy -1.408 7.611 1.536
Dy 1.879 2.586 4.608
Dy 2.708 5.359 1.536
Dy 5.995 0.334 4.608
Dy 5.888 5.025 4.608
Sn -1.209 2.661 4.608
Sn -1.679 7.662 4.608
Sn 1.700 2.377 1.536
Sn 2.887 5.568 4.608
Sn 6.266 0.284 1.536
Sn 5.796 5.284 1.536
Hg 0.000 5.297 4.608
Hg 4.587 2.648 1.536
```

---

b) A plane-wave DFT calculation with PBE was carried out for a relaxed Dy3Sn3Hg crystal.

total magnetic moment: 0.000 μB per atom
V: 374.04 Å³/cell
SG: No. 12
crystal system: monoclinic
N(E_F): 8.0 states/eV per cell

The structure in extended XYZ format:
```
14
Lattice="5.774 -2.254 0.000 5.774 2.254 0.000 -4.350 0.000 14.368" Properties=species:S:1:pos:R:3 pbc="T T T"
Dy -1.509 0.000 5.371
Dy -2.804 0.000 13.279
Dy 1.608 0.000 3.237
Dy 5.591 0.000 11.131
Dy 10.003 0.000 1.089
Dy 8.707 0.000 8.996
Sn 2.220 0.000 6.597
Sn 0.338 0.000 13.297
Sn 4.703 0.000 3.183
Sn 2.495 0.000 11.184
Sn 6.861 0.000 1.071
Sn 4.978 0.000 7.771
Hg 0.474 0.000 9.054
Hg 6.724 0.000 5.313
```

---

Which structure is the least stable? The one labeled a).

---

a) A plane-wave DFT calculation with PBE was carried out for a relaxed TbDyHg3 crystal.

total magnetic moment: 0.000 μB per atom
V: 351.39 Å³/cell
SG: No. 119
crystal system: tetragonal
N(E_F): 9.8 states/eV per cell

The structure in extended XYZ format:
```
10
Lattice="-2.855 2.855 10.780 2.855 -2.855 10.780 2.855 2.855 -10.780" Properties=species:S:1:pos:R:3 pbc="T T T"
Tb 0.000 0.000 0.000
Tb 0.000 2.855 5.390
Dy 0.000 0.000 8.929
Dy 0.000 0.000 12.631
Hg 2.855 0.000 0.788
Hg 0.000 1.400 2.770
Hg 2.855 0.000 9.992
Hg -1.454 2.855 8.010
Hg 1.454 2.855 8.010
Hg 0.000 4.309 2.770
```

---

b) A plane-wave DFT calculation with PBE was carried out for a relaxed TbDyHg3 crystal.

total magnetic moment: 0.000 μB per atom
V: 254.40 Å³/cell
SG: No. 63
crystal system: orthorhombic
N(E_F): 9.4 states/eV per cell

The structure in extended XYZ format:
```
10
Lattice="1.788 -14.509 0.000 1.788 14.509 0.000 0.000 0.000 4.904" Properties=species:S:1:pos:R:3 pbc="T T T"
Tb 1.788 12.294 3.678
Tb 1.788 -12.294 1.226
Dy 1.788 8.372 1.226
Dy 1.788 -8.372 3.678
Hg 1.788 5.238 1.226
Hg 1.788 3.528 3.678
Hg 1.788 0.693 3.678
Hg 1.788 -0.693 1.226
Hg 1.788 -3.528 1.226
Hg 1.788 -5.238 3.678
```

---

Which structure is the least stable? The one labeled a).

---

a) A plane-wave DFT calculation with PBE was carried out for a relaxed Tb2DyHg crystal.

total magnetic moment: 0.000 μB per atom
V: 475.24 Å³/cell
SG: No. 62
crystal system: orthorhombic
N(E_F): 17.7 states/eV per cell

The structure in extended XYZ format:
```
16
Lattice="6.937 0.000 0.000 0.000 10.170 0.000 0.000 0.000 6.736" Properties=species:S:1:pos:R:3 pbc="T T T"
Tb 1.373 0.417 1.276
Tb 1.373 4.668 1.276
Tb 2.095 5.503 4.644
Tb 2.095 9.753 4.644
Tb 4.842 0.417 2.092
Tb 4.842 4.668 2.092
Tb 5.564 5.503 5.460
Tb 5.564 9.753 5.460
Dy 0.047 7.628 2.632
Dy 3.422 2.543 6.000
Dy 3.515 7.628 0.736
Dy 6.890 2.543 4.104
Hg 0.609 7.628 6.395
Hg 2.859 2.543 3.027
Hg 4.078 7.628 3.709
Hg 6.328 2.543 0.341
```

---

b) A plane-wave DFT calculation with PBE was carried out for a relaxed Tb2DyHg crystal.

total magnetic moment: 0.000 μB per atom
V: 447.64 Å³/cell
SG: No. 225
crystal system: cubic
N(E_F): 20.2 states/eV per cell

The structure in extended XYZ format:
```
16
Lattice="7.650 0.000 0.000 0.000 7.650 0.000 0.000 0.000 7.650" Properties=species:S:1:pos:R:3 pbc="T T T"
Tb 1.912 1.912 1.912
Tb 1.912 1.912 5.737
Tb 1.912 5.737 1.912
Tb 1.912 5.737 5.737
Tb 5.737 1.912 1.912
Tb 5.737 1.912 5.737
Tb 5.737 5.737 1.912
Tb 5.737 5.737 5.737
Dy 0.000 0.000 0.000
Dy 0.000 3.825 3.825
Dy 3.825 0.000 3.825
Dy 3.825 3.825 0.000
Hg 0.000 0.000 3.825
Hg 0.000 3.825 0.000
Hg 3.825 0.000 0.000
Hg 3.825 3.825 3.825
```

---

Which structure is the least stable? The one labeled b).

---

a) A plane-wave DFT calculation with PBE was carried out for a relaxed Tb2DyHg crystal.

total magnetic moment: 0.152 μB per atom
V: 111.52 Å³/cell
SG: No. 123
crystal system: tetragonal
N(E_F): 5.1 states/eV per cell

The structure in extended XYZ format:
```
4
Lattice="4.810 0.000 0.000 0.000 4.810 0.000 0.000 0.000 4.819" Properties=species:S:1:pos:R:3 pbc="T T T"
Tb 0.000 2.405 0.000
Tb 2.405 0.000 0.000
Dy 0.000 0.000 2.409
Hg 2.405 2.405 2.409
```

---

b) A plane-wave DFT calculation with PBE was carried out for a relaxed Tb2DyHg crystal.

total magnetic moment: 0.000 μB per atom
V: 479.36 Å³/cell
SG: No. 63
crystal system: orthorhombic
N(E_F): 20.7 states/eV per cell

The structure in extended XYZ format:
```
16
Lattice="4.628 0.000 0.000 0.000 12.053 0.000 0.000 0.000 8.594" Properties=species:S:1:pos:R:3 pbc="T T T"
Tb 0.000 1.663 0.401
Tb 0.000 1.663 3.896
Tb 0.000 10.390 4.698
Tb 0.000 10.390 8.193
Tb 2.314 4.364 4.698
Tb 2.314 4.364 8.193
Tb 2.314 7.689 0.401
Tb 2.314 7.689 3.896
Dy 0.000 5.383 2.149
Dy 0.000 6.670 6.446
Dy 2.314 0.643 6.446
Dy 2.314 11.410 2.149
Hg 0.000 3.237 6.446
Hg 0.000 8.816 2.149
Hg 2.314 2.790 2.149
Hg 2.314 9.263 6.446
```

---

c) A plane-wave DFT calculation with PBE was carried out for a relaxed Tb2DyHg crystal.

total magnetic moment: 0.000 μB per atom
V: 116.30 Å³/cell
SG: No. 123
crystal system: tetragonal
N(E_F): 4.6 states/eV per cell

The structure in extended XYZ format:
```
4
Lattice="3.610 0.000 0.000 0.000 3.610 0.000 0.000 0.000 8.925" Properties=species:S:1:pos:R:3 pbc="T T T"
Tb 0.000 0.000 1.996
Tb 0.000 0.000 6.929
Dy 1.805 1.805 4.462
Hg 1.805 1.805 0.000
```

---

Which structure is the least stable? The one labeled b).